A plane-wave DFT calculation with PBE-GGA was carried out for an optimized crystal structure of ErSi3Ru3.

a b c (Å): 6.4569 6.4569 6.4569
angles (deg): 90.00 90.00 90.00
Last column: nearest neighbours and their distance in Å.
Fractional coordinates of all 14 atoms:
Er 0.0000 0.0000 0.0000  12 Ru 3.61, 12 Si 3.61
Er 0.5000 0.5000 0.5000  12 Ru 3.61, 12 Si 3.61
Si 0.0000 0.2500 0.5000  4 Ru 2.28
Si 0.0000 0.7500 0.5000  4 Ru 2.28
Si 0.2500 0.5000 0.0000  4 Ru 2.28
Si 0.5000 0.0000 0.2500  4 Ru 2.28
Si 0.5000 0.0000 0.7500  4 Ru 2.28
Si 0.7500 0.5000 0.0000  4 Ru 2.28
Ru 0.0000 0.5000 0.2500  4 Si 2.28
Ru 0.0000 0.5000 0.7500  4 Si 2.28
Ru 0.2500 0.0000 0.5000  4 Si 2.28
Ru 0.5000 0.2500 0.0000  4 Si 2.28
Ru 0.5000 0.7500 0.0000  4 Si 2.28
Ru 0.7500 0.0000 0.5000  4 Si 2.28

space group = No. 223
energy relative to the elements, uncorrected = -1.00 eV per formula unit
final energy = -7.09 eV/atom

---

A plane-wave DFT calculation with PBE-GGA was carried out for an optimized crystal structure of UFe2Mo.

a b c (Å): 2.8269 2.8269 7.1990
angles (deg): 90.00 90.00 90.00
Last column: nearest neighbours and their distance in Å.
Fractional coordinates of all 4 atoms:
U 0.0000 0.0000 0.0000  8 Fe 2.79, 4 U 2.83
Fe 0.5000 0.5000 0.2698  4 Mo 2.60, 4 U 2.79, 4 Fe 2.83
Fe 0.5000 0.5000 0.7302  4 Mo 2.60, 4 U 2.79, 4 Fe 2.83
Mo 0.0000 0.0000 0.5000  8 Fe 2.60, 4 Mo 2.83

space group = No. 123
distance to the lowest polymorph of the same formula = 0.0 meV/atom
final energy = -9.65 eV/atom
energy relative to the elements = 0.107 eV per atom

---

A plane-wave DFT calculation with PBE-GGA was carried out for an optimized crystal structure of YSiTe2.

a b c (Å): 5.2862 5.2862 5.2862
angles (deg): 60.00 60.00 60.00
Last column: nearest neighbours and their distance in Å.
Fractional coordinates of all 4 atoms:
Y 0.0000 0.0000 0.0000  4 Si 3.24, 4 Te 3.24
Si 0.7500 0.7500 0.7500  4 Te 3.24, 4 Y 3.24
Te 0.2500 0.2500 0.2500  4 Te 3.24, 4 Y 3.24
Te 0.5000 0.5000 0.5000  4 Te 3.24, 4 Si 3.24

space group = No. 216
energy relative to the elements, uncorrected = 0.00 eV per formula unit
final energy = -4.54 eV/atom

---

A plane-wave DFT calculation with PBE-GGA was carried out for an optimized crystal structure of TaTeOs3.

a b c (Å): 4.7300 4.7300 4.7300
angles (deg): 90.00 90.00 90.00
Last column: nearest neighbours and their distance in Å.
Fractional coordinates of all 5 atoms:
Ta 0.0000 0.0000 0.0000  12 Os 3.34
Te 0.5000 0.5000 0.5000  6 Os 2.36
Os 0.0000 0.5000 0.5000  2 Te 2.36
Os 0.5000 0.0000 0.5000  2 Te 2.36
Os 0.5000 0.5000 0.0000  2 Te 2.36

space group = No. 221
distance to the lowest polymorph of the same formula = 296.3 meV/atom
energy relative to the elements, uncorrected = 12.22 eV per formula unit
final energy = -7.29 eV/atom

---

A plane-wave DFT calculation with PBE-GGA was carried out for an optimized crystal structure of Ti2As2Rh.

a b c (Å): 6.7060 6.7060 3.5121
angles (deg): 90.00 90.00 90.00
Last column: nearest neighbours and their distance in Å.
Fractional coordinates of all 10 atoms:
Ti 0.1544 0.3456 0.0000  6 As 2.56-2.69
Ti 0.3456 0.8456 0.0000  6 As 2.56-2.69
Ti 0.6544 0.1544 0.0000  6 As 2.56-2.69
Ti 0.8456 0.6544 0.0000  6 As 2.56-2.69
As 0.1485 0.6485 0.5000  2 Rh 2.56, 6 Ti 2.56-2.69, 1 As 2.82
As 0.3515 0.1485 0.5000  2 Rh 2.56, 6 Ti 2.56-2.69, 1 As 2.82
As 0.6485 0.8515 0.5000  2 Rh 2.56, 6 Ti 2.56-2.69, 1 As 2.82
As 0.8515 0.3515 0.5000  2 Rh 2.56, 6 Ti 2.56-2.69, 1 As 2.82
Rh 0.0000 0.0000 0.5000  4 As 2.56
Rh 0.5000 0.5000 0.5000  4 As 2.56

space group = No. 127
distance to the lowest polymorph of the same formula = 0.0 meV/atom
final energy = -7.17 eV/atom
energy relative to the elements = -0.678 eV per atom

---

A plane-wave DFT calculation with PBE-GGA was carried out for an optimized crystal structure of SrLaIr3.

a b c (Å): 5.0428 5.0428 5.0428
angles (deg): 90.00 90.00 90.00
Last column: nearest neighbours and their distance in Å.
Fractional coordinates of all 5 atoms:
Sr 0.0000 0.0000 0.0000  12 Ir 3.57
La 0.5000 0.5000 0.5000  6 Ir 2.52
Ir 0.0000 0.5000 0.5000  2 La 2.52
Ir 0.5000 0.0000 0.5000  2 La 2.52
Ir 0.5000 0.5000 0.0000  2 La 2.52

space group = No. 221
distance to the lowest polymorph of the same formula = 0.0 meV/atom
final energy = -5.62 eV/atom
energy relative to the elements = 1.019 eV per atom

---

A plane-wave DFT calculation with PBE-GGA was carried out for an optimized crystal structure of Ce4AuC.

a b c (Å): 7.5833 7.5833 6.5311
angles (deg): 105.83 105.83 116.38
Last column: nearest neighbours and their distance in Å.
Fractional coordinates of all 12 atoms:
Ce 0.0827 0.6432 0.8070  1 C 2.50, 1 Ce 2.65
Ce 0.1613 0.2858 0.7048  2 C 2.47-2.56
Ce 0.2858 0.1613 0.2048  2 C 2.47-2.56
Ce 0.3568 0.9173 0.6930  1 C 2.50, 1 Ce 2.65
Ce 0.6432 0.0827 0.3070  1 C 2.50, 1 Ce 2.65
Ce 0.7142 0.8387 0.7952  2 C 2.47-2.56
Ce 0.8387 0.7142 0.2952  2 C 2.47-2.56
Ce 0.9173 0.3568 0.1930  1 C 2.50, 1 Ce 2.65
Au 0.3804 0.6196 0.2500  8 Ce 3.02-3.25
Au 0.6196 0.3804 0.7500  8 Ce 3.02-3.25
C 0.0553 0.9447 0.7500  6 Ce 2.47-2.56
C 0.9447 0.0553 0.2500  6 Ce 2.47-2.56

space group = No. 15
distance to the lowest polymorph of the same formula = 0.0 meV/atom
final energy = -6.28 eV/atom
energy relative to the elements = -0.240 eV per atom

---

A plane-wave DFT calculation with PBE-GGA was carried out for an optimized crystal structure of ZnPdPt2.

a b c (Å): 4.4265 4.4265 4.4265
angles (deg): 60.00 60.00 60.00
Last column: nearest neighbours and their distance in Å.
Fractional coordinates of all 4 atoms:
Zn 0.0000 0.0000 0.0000  4 Pt 2.71, 4 Pd 2.71
Pd 0.2500 0.2500 0.2500  4 Pt 2.71, 4 Zn 2.71
Pt 0.5000 0.5000 0.5000  4 Pt 2.71, 4 Pd 2.71
Pt 0.7500 0.7500 0.7500  4 Pt 2.71, 4 Zn 2.71

space group = No. 216
final energy = -4.88 eV/atom
energy relative to the elements = -0.240 eV per atom

---

- Which of these has the highest final energy?
  YSiTe2

---

- final energy of number 4 (TaTeOs3)?
  -7.29 eV/atom

---

- Which formula does entry 7 have?
  Ce4AuC